[1]
Compound: LiRe2Os2
Source: Alexandria via LeMat-Bulk
Functional: PBE-GGA
Structure: optimized geometry

Cell and atoms, written as CIF:
```
data_LiRe2Os2
_cell_length_a 7.6442
_cell_length_b 7.6442
_cell_length_c 2.7412
_cell_angle_alpha 90.00
_cell_angle_beta 90.00
_cell_angle_gamma 90.00
_space_group_name_H-M_alt 'P 1'
_space_group_IT_number 1
_space_group_name_Hall 'P 1'
loop_
_atom_site_label
_atom_site_type_symbol
_atom_site_fract_x
_atom_site_fract_y
_atom_site_fract_z
Os1 Os 0.1270 0.3730 0.0000
Os2 Os 0.6270 0.1270 0.0000
Os3 Os 0.3730 0.8730 0.0000
Os4 Os 0.8730 0.6270 0.0000
Re1 Re 0.3358 0.1642 0.5000
Re2 Re 0.6642 0.8358 0.5000
Re3 Re 0.8358 0.3358 0.5000
Re4 Re 0.1642 0.6642 0.5000
Li1 Li 0.0000 0.0000 0.0000
Li2 Li 0.5000 0.5000 0.0000
```

V (Å³ per cell): 160.18
Space group: P4/mbm


[2]
Compound: LiReOsRh
Source: Alexandria via LeMat-Bulk
Functional: PBE-GGA
Structure: optimized geometry

Cell and atoms, written as CIF:
```
data_LiReOsRh
_cell_length_a 4.2699
_cell_length_b 4.2699
_cell_length_c 4.2699
_cell_angle_alpha 60.00
_cell_angle_beta 60.00
_cell_angle_gamma 60.00
_space_group_name_H-M_alt 'P 1'
_space_group_IT_number 1
_space_group_name_Hall 'P 1'
loop_
_atom_site_label
_atom_site_type_symbol
_atom_site_fract_x
_atom_site_fract_y
_atom_site_fract_z
Li1 Li 0.0000 0.0000 0.0000
Os1 Os 0.2500 0.2500 0.2500
Rh1 Rh 0.7500 0.7500 0.7500
Re1 Re 0.5000 0.5000 0.5000
```

V (Å³ per cell): 55.05
Space group: F-43m


[3]
Compound: Li2ReOsRh
Source: Alexandria via LeMat-Bulk
Functional: PBE-GGA
Structure: optimized geometry

Cell and atoms, written as CIF:
```
data_Li2ReOsRh
_cell_length_a 4.0332
_cell_length_b 4.8435
_cell_length_c 4.0332
_cell_angle_alpha 90.00
_cell_angle_beta 90.00
_cell_angle_gamma 90.00
_space_group_name_H-M_alt 'P 1'
_space_group_IT_number 1
_space_group_name_Hall 'P 1'
loop_
_atom_site_label
_atom_site_type_symbol
_atom_site_fract_x
_atom_site_fract_y
_atom_site_fract_z
Re1 Re 0.5000 0.5000 0.5000
Li1 Li 0.5000 0.0000 0.0000
Li2 Li 0.0000 0.0000 0.5000
Rh1 Rh 0.0000 0.0000 0.0000
Os1 Os 0.0000 0.5000 0.0000
```

V (Å³ per cell): 78.79
Space group: P4/mmm


[4]
Compound: LiReOsRu
Source: Alexandria via LeMat-Bulk
Functional: PBE-GGA
Structure: optimized geometry

Cell and atoms, written as CIF:
```
data_LiReOsRu
_cell_length_a 4.2585
_cell_length_b 4.2585
_cell_length_c 4.2585
_cell_angle_alpha 60.00
_cell_angle_beta 60.00
_cell_angle_gamma 60.00
_space_group_name_H-M_alt 'P 1'
_space_group_IT_number 1
_space_group_name_Hall 'P 1'
loop_
_atom_site_label
_atom_site_type_symbol
_atom_site_fract_x
_atom_site_fract_y
_atom_site_fract_z
Li1 Li 0.0000 0.0000 0.0000
Os1 Os 0.2500 0.2500 0.2500
Re1 Re 0.5000 0.5000 0.5000
Ru1 Ru 0.7500 0.7500 0.7500
```

V (Å³ per cell): 54.61
Space group: F-43m


[5]
Compound: LiRe2SbOs
Source: Alexandria via LeMat-Bulk
Functional: PBE-GGA
Structure: optimized geometry

Cell and atoms, written as CIF:
```
data_LiRe2SbOs
_cell_length_a 4.1935
_cell_length_b 4.1935
_cell_length_c 4.3197
_cell_angle_alpha 90.00
_cell_angle_beta 90.00
_cell_angle_gamma 90.00
_space_group_name_H-M_alt 'P 1'
_space_group_IT_number 1
_space_group_name_Hall 'P 1'
loop_
_atom_site_label
_atom_site_type_symbol
_atom_site_fract_x
_atom_site_fract_y
_atom_site_fract_z
Li1 Li 0.0000 0.0000 0.0000
Os1 Os 0.5000 0.5000 0.5000
Sb1 Sb 0.0000 0.0000 0.5000
Re1 Re 0.5000 0.0000 0.0000
Re2 Re 0.0000 0.5000 0.0000
```

V (Å³ per cell): 75.97
Space group: P4/mmm
Formation energy from raw total energies (meV per atom): 1599


[6]
Compound: Li2ReTeOs
Source: Alexandria via LeMat-Bulk
Functional: PBE-GGA
Structure: optimized geometry

Cell and atoms, written as CIF:
```
data_Li2ReTeOs
_cell_length_a 4.6436
_cell_length_b 4.7219
_cell_length_c 4.6436
_cell_angle_alpha 90.00
_cell_angle_beta 90.00
_cell_angle_gamma 90.00
_space_group_name_H-M_alt 'P 1'
_space_group_IT_number 1
_space_group_name_Hall 'P 1'
loop_
_atom_site_label
_atom_site_type_symbol
_atom_site_fract_x
_atom_site_fract_y
_atom_site_fract_z
Te1 Te 0.5000 0.5000 0.5000
Li1 Li 0.5000 0.0000 0.0000
Li2 Li 0.0000 0.0000 0.5000
Re1 Re 0.0000 0.5000 0.0000
Os1 Os 0.0000 0.0000 0.0000
```

V (Å³ per cell): 101.82
Space group: P4/mmm
Formation energy from raw total energies (meV per atom): 986


[7]
Compound: LiVRe2Os
Source: Alexandria via LeMat-Bulk
Functional: PBE-GGA
Structure: optimized geometry

Cell and atoms, written as CIF:
```
data_LiVRe2Os
_cell_length_a 4.6962
_cell_length_b 4.1919
_cell_length_c 4.6962
_cell_angle_alpha 90.00
_cell_angle_beta 90.00
_cell_angle_gamma 90.00
_space_group_name_H-M_alt 'P 1'
_space_group_IT_number 1
_space_group_name_Hall 'P 1'
loop_
_atom_site_label
_atom_site_type_symbol
_atom_site_fract_x
_atom_site_fract_y
_atom_site_fract_z
V1 V 0.5000 0.5000 0.5000
Re1 Re 0.5000 0.0000 0.0000
Re2 Re 0.0000 0.0000 0.5000
Os1 Os 0.0000 0.0000 0.0000
Li1 Li 0.0000 0.5000 0.0000
```

V (Å³ per cell): 92.45
Space group: P4/mmm


[8]
Compound: LiReOsW
Source: Alexandria via LeMat-Bulk
Functional: PBE-GGA
Structure: optimized geometry

Cell and atoms, written as CIF:
```
data_LiReOsW
_cell_length_a 4.3250
_cell_length_b 4.3250
_cell_length_c 4.3250
_cell_angle_alpha 60.00
_cell_angle_beta 60.00
_cell_angle_gamma 60.00
_space_group_name_H-M_alt 'P 1'
_space_group_IT_number 1
_space_group_name_Hall 'P 1'
loop_
_atom_site_label
_atom_site_type_symbol
_atom_site_fract_x
_atom_site_fract_y
_atom_site_fract_z
Os1 Os 0.5000 0.5000 0.5000
Re1 Re 0.0000 0.0000 0.0000
Li1 Li 0.7500 0.7500 0.7500
W1 W 0.2500 0.2500 0.2500
```

V (Å³ per cell): 57.20
Space group: F-43m


E: -0.7083, -0.6010, -0.4128, -0.6365, -0.5023, -0.3781, -0.5634, -0.6955 (Ry per atom)
Total magnetization: 0.0, 0.0, 1.5, 0.0, 0.2, 1.5, 0.0, 0.0 (μB per cell)